Crystalline BePbI3 at its relaxed geometry. Source: Alexandria, functional PBE.

Values from the calculation:
Uncorrected formation energy ... 0.441 eV/atom
Magnetic moment ... 0.82 μB per formula unit
ρ ... 4085 kg/m3
Symmetry ... Pm-3m, No. 221

```
data_BePbI3
_symmetry_space_group_name_H-M 'P 1'
_symmetry_Int_Tables_number 1
_symmetry_space_group_name_Hall 'P 1'
_cell_length_a 6.2371
_cell_length_b 6.2371
_cell_length_c 6.2371
_cell_angle_alpha 90.00
_cell_angle_beta 90.00
_cell_angle_gamma 90.00
loop_
_atom_site_label
_atom_site_type_symbol
_atom_site_fract_x
_atom_site_fract_y
_atom_site_fract_z
Pb1 Pb 0.0000 0.0000 0.0000
I1 I 0.0000 0.5000 0.0000
I2 I 0.0000 0.0000 0.5000
I3 I 0.5000 0.0000 0.0000
Be1 Be 0.5000 0.5000 0.5000
```

=====

Crystalline PuVRu at its relaxed geometry. Source: Alexandria, functional PBE.

Values from the calculation:
VASP energy ... -32.77 eV per formula unit
Magnetic moment ... 4.33 μB per formula unit
ρ ... 12756 kg/m3
Symmetry ... I4mm, No. 107

```
data_PuVRu
_symmetry_space_group_name_H-M 'P 1'
_symmetry_Int_Tables_number 1
_symmetry_space_group_name_Hall 'P 1'
_cell_length_a 3.0019
_cell_length_b 3.0019
_cell_length_c 6.1019
_cell_angle_alpha 104.24
_cell_angle_beta 104.24
_cell_angle_gamma 90.00
loop_
_atom_site_label
_atom_site_type_symbol
_atom_site_fract_x
_atom_site_fract_y
_atom_site_fract_z
Ru1 Ru 0.9766 0.9766 0.9532
V1 V 0.5920 0.5920 0.1840
Pu1 Pu 0.2814 0.2814 0.5629
```

=====

Crystalline K2CdAs at its relaxed geometry. Source: Alexandria, functional PBE.

Values from the calculation:
VASP energy ... -7.99 eV per formula unit
Magnetic moment ... 0.08 μB per formula unit
ρ ... 3397 kg/m3
Symmetry ... Cmmm, No. 65

```
data_K2CdAs
_symmetry_space_group_name_H-M 'P 1'
_symmetry_Int_Tables_number 1
_symmetry_space_group_name_Hall 'P 1'
_cell_length_a 5.9403
_cell_length_b 5.9403
_cell_length_c 3.6782
_cell_angle_alpha 90.00
_cell_angle_beta 90.00
_cell_angle_gamma 90.75
loop_
_atom_site_label
_atom_site_type_symbol
_atom_site_fract_x
_atom_site_fract_y
_atom_site_fract_z
As1 As 0.5000 0.0000 0.5000
Cd1 Cd 0.0000 0.5000 0.5000
K1 K 0.0000 0.0000 0.0000
K2 K 0.5000 0.5000 0.0000
```